(1)
# KLiSeBr2 PBE-GGA optimized geometry
# E_form (uncorrected): -0.3086 eV/atom
# M_tot: 0.4063 μB per atom
# calculated volume: 45.47 Å³ per atom
data_KLiSeBr2
_chemical_formula_sum 'K1 Li1 Se1 Br2'
_space_group_name_H-M_alt 'P 1'
_space_group_IT_number 1
_space_group_name_Hall 'P 1'
_cell_length_a 6.164
_cell_length_b 6.164
_cell_length_c 5.983
_cell_angle_alpha 90.00
_cell_angle_beta 90.00
_cell_angle_gamma 90.00
loop_
_atom_site_label
_atom_site_type_symbol
_atom_site_fract_x
_atom_site_fract_y
_atom_site_fract_z
_atom_site_occupancy
Br1 Br 0.500 0.000 0.000 1
Br2 Br 0.000 0.500 0.000 1
Li1 Li 0.500 0.500 0.500 1
K1 K 0.000 0.000 0.000 1
Se1 Se 0.000 0.000 0.500 1


(2)
# KLi2SmBr6 PBE-GGA optimized geometry
# E_form (uncorrected): -1.6941 eV/atom
# M_tot: 0.0000 μB per atom
# calculated volume: 31.02 Å³ per atom
data_KLi2SmBr6
_chemical_formula_sum 'K1 Li2 Sm1 Br6'
_space_group_name_H-M_alt 'P 1'
_space_group_IT_number 1
_space_group_name_Hall 'P 1'
_cell_length_a 7.326
_cell_length_b 7.326
_cell_length_c 7.901
_cell_angle_alpha 62.38
_cell_angle_beta 62.38
_cell_angle_gamma 59.99
loop_
_atom_site_label
_atom_site_type_symbol
_atom_site_fract_x
_atom_site_fract_y
_atom_site_fract_z
_atom_site_occupancy
Br1 Br 0.340 0.741 0.752 1
Br2 Br 0.166 0.340 0.752 1
Br3 Br 0.257 0.904 0.236 1
Br4 Br 0.603 0.257 0.236 1
Br5 Br 0.904 0.603 0.236 1
Br6 Br 0.741 0.166 0.752 1
Sm1 Sm 0.320 0.320 0.040 1
K1 K 0.802 0.802 0.593 1
Li1 Li 0.010 0.010 0.970 1
Li2 Li 0.518 0.517 0.447 1


(3)
# KLiSm2Br8 PBE-GGA optimized geometry
# E_form (uncorrected): -1.7448 eV/atom
# M_tot: 0.0000 μB per atom
# calculated volume: 33.93 Å³ per atom
data_KLiSm2Br8
_chemical_formula_sum 'K1 Li1 Sm2 Br8'
_space_group_name_H-M_alt 'P 1'
_space_group_IT_number 1
_space_group_name_Hall 'P 1'
_cell_length_a 7.352
_cell_length_b 7.352
_cell_length_c 8.698
_cell_angle_alpha 90.00
_cell_angle_beta 90.00
_cell_angle_gamma 120.00
loop_
_atom_site_label
_atom_site_type_symbol
_atom_site_fract_x
_atom_site_fract_y
_atom_site_fract_z
_atom_site_occupancy
Br1 Br 0.354 0.287 0.844 1
Br2 Br 0.287 0.933 0.156 1
Br3 Br 0.333 0.667 0.586 1
Br4 Br 0.646 0.713 0.156 1
Br5 Br 0.713 0.067 0.844 1
Br6 Br 0.067 0.354 0.156 1
Br7 Br 0.667 0.333 0.414 1
Br8 Br 0.933 0.646 0.844 1
Sm1 Sm 0.667 0.333 0.097 1
Sm2 Sm 0.333 0.667 0.903 1
Li1 Li 0.000 0.000 0.000 1
K1 K 0.000 0.000 0.500 1


(4)
# K2LiSnBr5 PBE-GGA optimized geometry
# E_form (uncorrected): -1.3261 eV/atom
# M_tot: 0.0000 μB per atom
# calculated volume: 34.60 Å³ per atom
data_K2LiSnBr5
_chemical_formula_sum 'K4 Li2 Sn2 Br10'
_space_group_name_H-M_alt 'P 1'
_space_group_IT_number 1
_space_group_name_Hall 'P 1'
_cell_length_a 4.563
_cell_length_b 9.706
_cell_length_c 14.468
_cell_angle_alpha 90.00
_cell_angle_beta 90.00
_cell_angle_gamma 103.59
loop_
_atom_site_label
_atom_site_type_symbol
_atom_site_fract_x
_atom_site_fract_y
_atom_site_fract_z
_atom_site_occupancy
Li1 Li 0.235 0.469 0.072 1
Li2 Li 0.765 0.531 0.572 1
Br1 Br 0.272 0.543 0.661 1
Br2 Br 0.335 0.670 0.348 1
Br3 Br 0.665 0.330 0.848 1
Br4 Br 0.523 0.045 0.260 1
Br5 Br 0.088 0.176 0.052 1
Br6 Br 0.477 0.955 0.760 1
Br7 Br 0.359 0.719 0.000 1
Br8 Br 0.728 0.457 0.161 1
Br9 Br 0.641 0.281 0.500 1
Br10 Br 0.912 0.824 0.552 1
K1 K 0.099 0.198 0.673 1
K2 K 0.155 0.311 0.317 1
K3 K 0.845 0.689 0.817 1
K4 K 0.901 0.802 0.173 1
Sn1 Sn 0.541 0.082 0.941 1
Sn2 Sn 0.459 0.918 0.441 1


(5)
# KLiSn2Br PBE-GGA optimized geometry
# E_form (uncorrected): -0.2390 eV/atom
# M_tot: 0.0000 μB per atom
# calculated volume: 35.60 Å³ per atom
data_KLiSn2Br
_chemical_formula_sum 'K1 Li1 Sn2 Br1'
_space_group_name_H-M_alt 'P 1'
_space_group_IT_number 1
_space_group_name_Hall 'P 1'
_cell_length_a 4.824
_cell_length_b 7.649
_cell_length_c 4.824
_cell_angle_alpha 90.00
_cell_angle_beta 90.00
_cell_angle_gamma 90.00
loop_
_atom_site_label
_atom_site_type_symbol
_atom_site_fract_x
_atom_site_fract_y
_atom_site_fract_z
_atom_site_occupancy
Sn1 Sn 0.000 0.000 0.500 1
Sn2 Sn 0.500 0.000 0.000 1
Li1 Li 0.000 0.000 0.000 1
Br1 Br 0.500 0.500 0.500 1
K1 K 0.000 0.500 0.000 1


(6)
# KSrLiBr4 PBE-GGA optimized geometry
# E_form (uncorrected): -1.8309 eV/atom
# M_tot: 0.0000 μB per atom
# calculated volume: 33.43 Å³ per atom
data_KSrLiBr4
_chemical_formula_sum 'K2 Sr2 Li2 Br8'
_space_group_name_H-M_alt 'P 1'
_space_group_IT_number 1
_space_group_name_Hall 'P 1'
_cell_length_a 7.276
_cell_length_b 7.445
_cell_length_c 9.085
_cell_angle_alpha 90.00
_cell_angle_beta 108.01
_cell_angle_gamma 90.00
loop_
_atom_site_label
_atom_site_type_symbol
_atom_site_fract_x
_atom_site_fract_y
_atom_site_fract_z
_atom_site_occupancy
Br1 Br 0.551 0.250 0.412 1
Br2 Br 0.997 0.499 0.275 1
Br3 Br 0.558 0.250 0.857 1
Br4 Br 0.003 0.999 0.725 1
Br5 Br 0.449 0.750 0.588 1
Br6 Br 0.442 0.750 0.143 1
Br7 Br 0.003 0.501 0.725 1
Br8 Br 0.997 0.001 0.275 1
Sr1 Sr 0.221 0.250 0.554 1
Sr2 Sr 0.779 0.750 0.446 1
Li1 Li 0.238 0.750 0.315 1
Li2 Li 0.762 0.250 0.685 1
K1 K 0.742 0.750 0.939 1
K2 K 0.258 0.250 0.061 1


(7)
# K2SrLiBr5 PBE-GGA optimized geometry
# E_form (uncorrected): -1.8238 eV/atom
# M_tot: 0.0000 μB per atom
# calculated volume: 34.69 Å³ per atom
data_K2SrLiBr5
_chemical_formula_sum 'K4 Sr2 Li2 Br10'
_space_group_name_H-M_alt 'P 1'
_space_group_IT_number 1
_space_group_name_Hall 'P 1'
_cell_length_a 4.514
_cell_length_b 9.887
_cell_length_c 14.368
_cell_angle_alpha 90.00
_cell_angle_beta 90.00
_cell_angle_gamma 103.19
loop_
_atom_site_label
_atom_site_type_symbol
_atom_site_fract_x
_atom_site_fract_y
_atom_site_fract_z
_atom_site_occupancy
Br1 Br 0.711 0.423 0.177 1
Br2 Br 0.044 0.087 0.014 1
Br3 Br 0.358 0.715 0.008 1
Br4 Br 0.311 0.623 0.387 1
Br5 Br 0.497 0.993 0.773 1
Br6 Br 0.689 0.377 0.887 1
Br7 Br 0.503 0.007 0.273 1
Br8 Br 0.956 0.913 0.514 1
Br9 Br 0.642 0.285 0.508 1
Br10 Br 0.289 0.577 0.677 1
K1 K 0.877 0.753 0.835 1
K2 K 0.096 0.192 0.669 1
K3 K 0.904 0.808 0.169 1
K4 K 0.123 0.247 0.335 1
Li1 Li 0.554 0.109 0.927 1
Li2 Li 0.446 0.891 0.427 1
Sr1 Sr 0.202 0.405 0.032 1
Sr2 Sr 0.798 0.595 0.532 1


(8)
# K2LiTbBr6 PBE-GGA optimized geometry
# E_form (uncorrected): -1.7713 eV/atom
# M_tot: 0.0000 μB per atom
# calculated volume: 32.42 Å³ per atom
data_K2LiTbBr6
_chemical_formula_sum 'K4 Li2 Tb2 Br12'
_space_group_name_H-M_alt 'P 1'
_space_group_IT_number 1
_space_group_name_Hall 'P 1'
_cell_length_a 7.597
_cell_length_b 7.905
_cell_length_c 10.798
_cell_angle_alpha 90.00
_cell_angle_beta 89.54
_cell_angle_gamma 90.00
loop_
_atom_site_label
_atom_site_type_symbol
_atom_site_fract_x
_atom_site_fract_y
_atom_site_fract_z
_atom_site_occupancy
Br1 Br 0.911 0.518 0.253 1
Br2 Br 0.301 0.704 0.456 1
Br3 Br 0.199 0.204 0.044 1
Br4 Br 0.201 0.201 0.455 1
Br5 Br 0.801 0.796 0.956 1
Br6 Br 0.299 0.701 0.045 1
Br7 Br 0.589 0.018 0.247 1
Br8 Br 0.089 0.482 0.747 1
Br9 Br 0.411 0.982 0.753 1
Br10 Br 0.699 0.296 0.544 1
Br11 Br 0.701 0.299 0.955 1
Br12 Br 0.799 0.799 0.545 1
Tb1 Tb 0.000 0.500 0.000 1
Tb2 Tb 0.500 0.000 0.500 1
K1 K 0.521 0.569 0.752 1
K2 K 0.479 0.431 0.248 1
K3 K 0.979 0.069 0.748 1
K4 K 0.021 0.931 0.252 1
Li1 Li 0.500 0.000 0.000 1
Li2 Li 0.000 0.500 0.500 1


(9)
# KLi2TbBr6 PBE-GGA optimized geometry
# E_form (uncorrected): -1.6957 eV/atom
# M_tot: 0.0000 μB per atom
# calculated volume: 30.68 Å³ per atom
data_KLi2TbBr6
_chemical_formula_sum 'K1 Li2 Tb1 Br6'
_space_group_name_H-M_alt 'P 1'
_space_group_IT_number 1
_space_group_name_Hall 'P 1'
_cell_length_a 7.290
_cell_length_b 7.288
_cell_length_c 7.887
_cell_angle_alpha 62.46
_cell_angle_beta 62.46
_cell_angle_gamma 60.00
loop_
_atom_site_label
_atom_site_type_symbol
_atom_site_fract_x
_atom_site_fract_y
_atom_site_fract_z
_atom_site_occupancy
Li1 Li 0.518 0.518 0.445 1
Li2 Li 0.009 0.010 0.971 1
Br1 Br 0.739 0.164 0.756 1
Br2 Br 0.164 0.341 0.756 1
Br3 Br 0.911 0.594 0.236 1
Br4 Br 0.594 0.258 0.236 1
Br5 Br 0.259 0.911 0.236 1
Br6 Br 0.341 0.739 0.756 1
K1 K 0.804 0.804 0.588 1
Tb1 Tb 0.322 0.322 0.034 1


Q: Which formula does entry 8 have?
A: K2LiTbBr6


Q: Which value of M_tot does entry 5 give?
A: 0.0000 μB per atom


Q: Which of these has the lowest calculated volume?
A: KLi2TbBr6


Q: What is the formula in the eighth record?
A: K2LiTbBr6